The following is a GGA-PBE calculation of a relaxed structure of Li2MgAu2, from the Alexandria database.

Lattice parameters (Å, degrees): 5.4400 7.0413 6.5684 122.41 114.46 90.00
Closest atoms and distances in Å follow each position.
Sites, in units of the cell vectors:
Li 0.6012 0.9727 0.2023  3 Au 2.50-2.64, 1 Li 2.66
Mg 0.2500 0.5000 0.0000  2 Mg 2.72, 4 Au 2.76
Li 0.1012 0.2296 0.2023  3 Au 2.50-2.64, 1 Li 2.66
Au 0.8413 0.0792 0.6825  3 Li 2.50-2.64, 2 Mg 2.76
Mg 0.7500 0.5000 0.0000  2 Mg 2.72, 4 Au 2.76
Li 0.3988 0.0273 0.7977  3 Au 2.50-2.64, 1 Li 2.66
Au 0.3413 0.6033 0.6825  3 Li 2.50-2.64, 2 Mg 2.76
Au 0.6587 0.3967 0.3175  3 Li 2.50-2.64, 2 Mg 2.76
Au 0.1587 0.9208 0.3175  3 Li 2.50-2.64, 2 Mg 2.76
Li 0.8988 0.7704 0.7977  3 Au 2.50-2.64, 1 Li 2.66

Relative energy among the computed polymorphs (meV/atom): 173
Calculated total energy (eV per atom): -2.733
ΔE_f (eV per atom): -0.338